[1]
# Pr2CdHg meta-GGA SCAN PBEsol geometry
# Calculated total energy ... -46.850 eV/atom
# Calculated volume ... 27.34 Å³/atom
data_Pr2CdHg
_symmetry_space_group_name_H-M 'F m -3 m'
_symmetry_Int_Tables_number 225
_symmetry_space_group_name_Hall '-F 4 2 3'
_cell_length_a 7.5913
_cell_length_b 7.5913
_cell_length_c 7.5913
_cell_angle_alpha 90.00
_cell_angle_beta 90.00
_cell_angle_gamma 90.00
loop_
_atom_site_label
_atom_site_type_symbol
_atom_site_fract_x
_atom_site_fract_y
_atom_site_fract_z
_atom_site_occupancy
Pr1 Pr 0.2500 0.2500 0.2500 1
Cd1 Cd 0.0000 0.0000 0.0000 1
Hg1 Hg 0.0000 0.0000 0.5000 1


[2]
# CdHgPt2 meta-GGA SCAN PBEsol geometry
# Calculated total energy ... -59.881 eV/atom
# Calculated volume ... 16.93 Å³/atom
data_CdHgPt2
_symmetry_space_group_name_H-M 'P m m m'
_symmetry_Int_Tables_number 47
_symmetry_space_group_name_Hall '-P 2 2'
_cell_length_a 2.9531
_cell_length_b 3.8925
_cell_length_c 5.8899
_cell_angle_alpha 90.00
_cell_angle_beta 90.00
_cell_angle_gamma 90.00
loop_
_atom_site_label
_atom_site_type_symbol
_atom_site_fract_x
_atom_site_fract_y
_atom_site_fract_z
_atom_site_occupancy
Cd1 Cd 0.0000 0.0000 0.0000 1
Hg1 Hg 0.0000 0.0000 0.5000 1
Pt1 Pt 0.5000 0.5000 0.2467 1


[3]
# CdHg2Pt meta-GGA SCAN PBEsol geometry
# Calculated total energy ... -59.211 eV/atom
# Calculated volume ... 18.59 Å³/atom
data_CdHg2Pt
_symmetry_space_group_name_H-M 'I -4 m 2'
_symmetry_Int_Tables_number 119
_symmetry_space_group_name_Hall 'I -4 -2'
_cell_length_a 4.1205
_cell_length_b 4.1205
_cell_length_c 8.7605
_cell_angle_alpha 90.00
_cell_angle_beta 90.00
_cell_angle_gamma 90.00
loop_
_atom_site_label
_atom_site_type_symbol
_atom_site_fract_x
_atom_site_fract_y
_atom_site_fract_z
_atom_site_occupancy
Cd1 Cd 0.0000 0.0000 0.0000 1
Hg1 Hg 0.0000 0.0000 0.5000 1
Hg2 Hg 0.0000 0.5000 0.2500 1
Pt1 Pt 0.0000 0.5000 0.7500 1


[4]
# CdHgPt2 meta-GGA SCAN PBEsol geometry
# Calculated total energy ... -59.877 eV/atom
# Calculated volume ... 16.92 Å³/atom
data_CdHgPt2
_symmetry_space_group_name_H-M 'C m m m'
_symmetry_Int_Tables_number 65
_symmetry_space_group_name_Hall '-C 2 2'
_cell_length_a 5.9038
_cell_length_b 7.7501
_cell_length_c 2.9592
_cell_angle_alpha 90.00
_cell_angle_beta 90.00
_cell_angle_gamma 90.00
loop_
_atom_site_label
_atom_site_type_symbol
_atom_site_fract_x
_atom_site_fract_y
_atom_site_fract_z
_atom_site_occupancy
Cd1 Cd 0.0000 0.0000 0.0000 1
Hg1 Hg 0.0000 0.5000 0.0000 1
Pt1 Pt 0.2500 0.2500 0.5000 1


[5]
# CdHgPt2 meta-GGA SCAN PBEsol geometry
# Calculated total energy ... -59.837 eV/atom
# Calculated volume ... 16.98 Å³/atom
data_CdHgPt2
_symmetry_space_group_name_H-M 'P m m 2'
_symmetry_Int_Tables_number 25
_symmetry_space_group_name_Hall 'P 2 -2'
_cell_length_a 2.9445
_cell_length_b 4.7297
_cell_length_c 4.8771
_cell_angle_alpha 90.00
_cell_angle_beta 90.00
_cell_angle_gamma 90.00
loop_
_atom_site_label
_atom_site_type_symbol
_atom_site_fract_x
_atom_site_fract_y
_atom_site_fract_z
_atom_site_occupancy
Cd1 Cd 0.0000 0.0000 0.0000 1
Hg1 Hg 0.0000 0.5000 0.6094 1
Pt1 Pt 0.5000 0.0000 0.4912 1
Pt2 Pt 0.5000 0.5000 0.1154 1


[6]
# CdHgPt meta-GGA SCAN PBEsol geometry
# Calculated total energy ... -56.301 eV/atom
# Calculated volume ... 18.10 Å³/atom
data_CdHgPt
_symmetry_space_group_name_H-M 'P 3 m 1'
_symmetry_Int_Tables_number 156
_symmetry_space_group_name_Hall 'P 3 -2"'
_cell_length_a 4.6318
_cell_length_b 4.6318
_cell_length_c 2.9224
_cell_angle_alpha 90.00
_cell_angle_beta 90.00
_cell_angle_gamma 120.00
loop_
_atom_site_label
_atom_site_type_symbol
_atom_site_fract_x
_atom_site_fract_y
_atom_site_fract_z
_atom_site_occupancy
Cd1 Cd 0.0000 0.0000 0.0000 1
Hg1 Hg 0.3333 0.6667 0.3779 1
Pt1 Pt 0.6667 0.3333 0.6187 1


[7]
# CdHgPt meta-GGA SCAN PBEsol geometry
# Calculated total energy ... -56.309 eV/atom
# Calculated volume ... 18.27 Å³/atom
data_CdHgPt
_symmetry_space_group_name_H-M 'I 4 m m'
_symmetry_Int_Tables_number 107
_symmetry_space_group_name_Hall 'I 4 -2'
_cell_length_a 2.9779
_cell_length_b 2.9779
_cell_length_c 12.3587
_cell_angle_alpha 90.00
_cell_angle_beta 90.00
_cell_angle_gamma 90.00
loop_
_atom_site_label
_atom_site_type_symbol
_atom_site_fract_x
_atom_site_fract_y
_atom_site_fract_z
_atom_site_occupancy
Cd1 Cd 0.0000 0.0000 0.0000 1
Hg1 Hg 0.0000 0.0000 0.6876 1
Pt1 Pt 0.0000 0.0000 0.3491 1


[8]
# CdHgPt2 meta-GGA SCAN PBEsol geometry
# Calculated total energy ... -59.886 eV/atom
# Calculated volume ... 16.92 Å³/atom
data_CdHgPt2
_symmetry_space_group_name_H-M 'I 4/m m m'
_symmetry_Int_Tables_number 139
_symmetry_space_group_name_Hall '-I 4 2'
_cell_length_a 4.1705
_cell_length_b 4.1705
_cell_length_c 7.7806
_cell_angle_alpha 90.00
_cell_angle_beta 90.00
_cell_angle_gamma 90.00
loop_
_atom_site_label
_atom_site_type_symbol
_atom_site_fract_x
_atom_site_fract_y
_atom_site_fract_z
_atom_site_occupancy
Cd1 Cd 0.0000 0.0000 0.0000 1
Hg1 Hg 0.0000 0.0000 0.5000 1
Pt1 Pt 0.0000 0.5000 0.2500 1


[9]
# Cd4HgPt meta-GGA SCAN PBEsol geometry
# Calculated total energy ... -43.160 eV/atom
# Calculated volume ... 19.63 Å³/atom
data_Cd4HgPt
_symmetry_space_group_name_H-M 'F -4 3 m'
_symmetry_Int_Tables_number 216
_symmetry_space_group_name_Hall 'F -4 2 3'
_cell_length_a 7.7815
_cell_length_b 7.7815
_cell_length_c 7.7815
_cell_angle_alpha 90.00
_cell_angle_beta 90.00
_cell_angle_gamma 90.00
loop_
_atom_site_label
_atom_site_type_symbol
_atom_site_fract_x
_atom_site_fract_y
_atom_site_fract_z
_atom_site_occupancy
Cd1 Cd 0.1246 0.1246 0.1246 1
Hg1 Hg 0.0000 0.0000 0.5000 1
Pt1 Pt 0.2500 0.2500 0.7500 1


[10]
# CdHgPt2 meta-GGA SCAN PBEsol geometry
# Calculated total energy ... -59.787 eV/atom
# Calculated volume ... 17.31 Å³/atom
data_CdHgPt2
_symmetry_space_group_name_H-M 'I m m 2'
_symmetry_Int_Tables_number 44
_symmetry_space_group_name_Hall 'I 2 -2'
_cell_length_a 2.9197
_cell_length_b 4.7766
_cell_length_c 9.9316
_cell_angle_alpha 90.00
_cell_angle_beta 90.00
_cell_angle_gamma 90.00
loop_
_atom_site_label
_atom_site_type_symbol
_atom_site_fract_x
_atom_site_fract_y
_atom_site_fract_z
_atom_site_occupancy
Cd1 Cd 0.0000 0.0000 0.0000 1
Hg1 Hg 0.0000 0.5000 0.7740 1
Pt1 Pt 0.0000 0.0000 0.5213 1
Pt2 Pt 0.0000 0.5000 0.2550 1


[11]
# PuCdHg2 meta-GGA SCAN PBEsol geometry
# Calculated total energy ... -69.305 eV/atom
# Calculated volume ... 22.65 Å³/atom
data_PuCdHg2
_symmetry_space_group_name_H-M 'F m -3 m'
_symmetry_Int_Tables_number 225
_symmetry_space_group_name_Hall '-F 4 2 3'
_cell_length_a 7.1298
_cell_length_b 7.1298
_cell_length_c 7.1298
_cell_angle_alpha 90.00
_cell_angle_beta 90.00
_cell_angle_gamma 90.00
loop_
_atom_site_label
_atom_site_type_symbol
_atom_site_fract_x
_atom_site_fract_y
_atom_site_fract_z
_atom_site_occupancy
Pu1 Pu 0.0000 0.0000 0.0000 1
Cd1 Cd 0.0000 0.0000 0.5000 1
Hg1 Hg 0.2500 0.2500 0.2500 1


[12]
# RbCdHg3 meta-GGA SCAN PBEsol geometry
# Calculated total energy ... -51.283 eV/atom
# Calculated volume ... 34.14 Å³/atom
data_RbCdHg3
_symmetry_space_group_name_H-M 'P m -3 m'
_symmetry_Int_Tables_number 221
_symmetry_space_group_name_Hall '-P 4 2 3'
_cell_length_a 5.5470
_cell_length_b 5.5470
_cell_length_c 5.5470
_cell_angle_alpha 90.00
_cell_angle_beta 90.00
_cell_angle_gamma 90.00
loop_
_atom_site_label
_atom_site_type_symbol
_atom_site_fract_x
_atom_site_fract_y
_atom_site_fract_z
_atom_site_occupancy
Rb1 Rb 0.0000 0.0000 0.0000 1
Cd1 Cd 0.5000 0.5000 0.5000 1
Hg1 Hg 0.0000 0.5000 0.5000 1


[13]
# Rb2Cd2Hg meta-GGA SCAN PBEsol geometry
# Calculated total energy ... -34.186 eV/atom
# Calculated volume ... 37.00 Å³/atom
data_Rb2Cd2Hg
_symmetry_space_group_name_H-M 'I 4/m m m'
_symmetry_Int_Tables_number 139
_symmetry_space_group_name_Hall '-I 4 2'
_cell_length_a 4.1598
_cell_length_b 4.1598
_cell_length_c 21.3853
_cell_angle_alpha 90.00
_cell_angle_beta 90.00
_cell_angle_gamma 90.00
loop_
_atom_site_label
_atom_site_type_symbol
_atom_site_fract_x
_atom_site_fract_y
_atom_site_fract_z
_atom_site_occupancy
Rb1 Rb 0.0000 0.0000 0.1055 1
Cd1 Cd 0.0000 0.5000 0.2500 1
Hg1 Hg 0.0000 0.0000 0.5000 1


[14]
# Rb2CdHg meta-GGA SCAN PBEsol geometry
# Calculated total energy ... -35.110 eV/atom
# Calculated volume ... 40.24 Å³/atom
data_Rb2CdHg
_symmetry_space_group_name_H-M 'F m -3 m'
_symmetry_Int_Tables_number 225
_symmetry_space_group_name_Hall '-F 4 2 3'
_cell_length_a 8.6353
_cell_length_b 8.6353
_cell_length_c 8.6353
_cell_angle_alpha 90.00
_cell_angle_beta 90.00
_cell_angle_gamma 90.00
loop_
_atom_site_label
_atom_site_type_symbol
_atom_site_fract_x
_atom_site_fract_y
_atom_site_fract_z
_atom_site_occupancy
Rb1 Rb 0.2500 0.2500 0.2500 1
Cd1 Cd 0.0000 0.0000 0.0000 1
Hg1 Hg 0.0000 0.0000 0.5000 1


[15]
# Rb2Cd2Hg meta-GGA SCAN PBEsol geometry
# Calculated total energy ... -34.169 eV/atom
# Calculated volume ... 34.90 Å³/atom
data_Rb2Cd2Hg
_symmetry_space_group_name_H-M 'P 4/m b m'
_symmetry_Int_Tables_number 127
_symmetry_space_group_name_Hall '-P 4 2ab'
_cell_length_a 7.7932
_cell_length_b 7.7932
_cell_length_c 5.7456
_cell_angle_alpha 90.00
_cell_angle_beta 90.00
_cell_angle_gamma 90.00
loop_
_atom_site_label
_atom_site_type_symbol
_atom_site_fract_x
_atom_site_fract_y
_atom_site_fract_z
_atom_site_occupancy
Rb1 Rb 0.1797 0.3203 0.0000 1
Cd1 Cd 0.1334 0.6334 0.5000 1
Hg1 Hg 0.0000 0.0000 0.5000 1


[16]
# RbCdHgRh2 meta-GGA SCAN PBEsol geometry
# Calculated total energy ... -36.271 eV/atom
# Calculated volume ... 28.95 Å³/atom
data_RbCdHgRh2
_symmetry_space_group_name_H-M 'P 4/m m m'
_symmetry_Int_Tables_number 123
_symmetry_space_group_name_Hall '-P 4 2'
_cell_length_a 5.0192
_cell_length_b 5.0192
_cell_length_c 5.7462
_cell_angle_alpha 90.00
_cell_angle_beta 90.00
_cell_angle_gamma 90.00
loop_
_atom_site_label
_atom_site_type_symbol
_atom_site_fract_x
_atom_site_fract_y
_atom_site_fract_z
_atom_site_occupancy
Rb1 Rb 0.0000 0.0000 0.0000 1
Cd1 Cd 0.5000 0.5000 0.0000 1
Hg1 Hg 0.0000 0.0000 0.5000 1
Rh1 Rh 0.0000 0.5000 0.5000 1


[17]
# CdRe2Hg meta-GGA SCAN PBEsol geometry
# Calculated total energy ... -59.207 eV/atom
# Calculated volume ... 16.86 Å³/atom
data_CdRe2Hg
_symmetry_space_group_name_H-M 'I 4/m m m'
_symmetry_Int_Tables_number 139
_symmetry_space_group_name_Hall '-I 4 2'
_cell_length_a 3.8407
_cell_length_b 3.8407
_cell_length_c 9.1456
_cell_angle_alpha 90.00
_cell_angle_beta 90.00
_cell_angle_gamma 90.00
loop_
_atom_site_label
_atom_site_type_symbol
_atom_site_fract_x
_atom_site_fract_y
_atom_site_fract_z
_atom_site_occupancy
Cd1 Cd 0.0000 0.0000 0.0000 1
Re1 Re 0.0000 0.5000 0.2500 1
Hg1 Hg 0.0000 0.0000 0.5000 1


[18]
# Cd2ReHg meta-GGA SCAN PBEsol geometry
# Calculated total energy ... -49.508 eV/atom
# Calculated volume ... 18.05 Å³/atom
data_Cd2ReHg
_symmetry_space_group_name_H-M 'C m m m'
_symmetry_Int_Tables_number 65
_symmetry_space_group_name_Hall '-C 2 2'
_cell_length_a 5.8030
_cell_length_b 8.6400
_cell_length_c 2.8804
_cell_angle_alpha 90.00
_cell_angle_beta 90.00
_cell_angle_gamma 90.00
loop_
_atom_site_label
_atom_site_type_symbol
_atom_site_fract_x
_atom_site_fract_y
_atom_site_fract_z
_atom_site_occupancy
Cd1 Cd 0.2500 0.2500 0.0000 1
Re1 Re 0.0000 0.0000 0.5000 1
Hg1 Hg 0.0000 0.5000 0.5000 1


[19]
# CdRe2Hg meta-GGA SCAN PBEsol geometry
# Calculated total energy ... -58.890 eV/atom
# Calculated volume ... 16.44 Å³/atom
data_CdRe2Hg
_symmetry_space_group_name_H-M 'P 4/m m m'
_symmetry_Int_Tables_number 123
_symmetry_space_group_name_Hall '-P 4 2'
_cell_length_a 3.2003
_cell_length_b 3.2003
_cell_length_c 6.4195
_cell_angle_alpha 90.00
_cell_angle_beta 90.00
_cell_angle_gamma 90.00
loop_
_atom_site_label
_atom_site_type_symbol
_atom_site_fract_x
_atom_site_fract_y
_atom_site_fract_z
_atom_site_occupancy
Cd1 Cd 0.0000 0.0000 0.0000 1
Re1 Re 0.5000 0.5000 0.2522 1
Hg1 Hg 0.0000 0.0000 0.5000 1


[20]
# CdRe2Hg meta-GGA SCAN PBEsol geometry
# Calculated total energy ... -59.381 eV/atom
# Calculated volume ... 16.64 Å³/atom
data_CdRe2Hg
_symmetry_space_group_name_H-M 'R -3 m'
_symmetry_Int_Tables_number 166
_symmetry_space_group_name_Hall '-R 3 2"'
_cell_length_a 2.8362
_cell_length_b 2.8362
_cell_length_c 28.6575
_cell_angle_alpha 90.00
_cell_angle_beta 90.00
_cell_angle_gamma 120.00
loop_
_atom_site_label
_atom_site_type_symbol
_atom_site_fract_x
_atom_site_fract_y
_atom_site_fract_z
_atom_site_occupancy
Cd1 Cd 0.0000 0.0000 0.0000 1
Re1 Re 0.0000 0.0000 0.2500 1
Hg1 Hg 0.0000 0.0000 0.5000 1


| no. | total moment (μB per atom) |
| --- | --- |
| 1 | 0.219 |
| 2 | 0.000 |
| 3 | 0.000 |
| 4 | 0.000 |
| 5 | 0.000 |
| 6 | 0.000 |
| 7 | 0.000 |
| 8 | 0.000 |
| 9 | 0.000 |
| 10 | 0.000 |
| 11 | 1.414 |
| 12 | 0.000 |
| 13 | 0.000 |
| 14 | 0.184 |
| 15 | 0.000 |
| 16 | 0.368 |
| 17 | 0.000 |
| 18 | 0.000 |
| 19 | 0.000 |
| 20 | 0.000 |